Density functional theory data (PBE) for crystalline PmZnHg3 at its relaxed geometry.

a = 13.037 Å, b = 6.091 Å, c = 6.056 Å
α = 90.00°, β = 103.30°, γ = 90.00°
Space group C2/m (No. 12)
One atom of each set of equivalent atoms:
Pm1 0.093 0.000 0.288 x4
Zn1 0.000 0.500 0.000 x2
Zn2 0.000 0.500 0.500 x2
Hg1 0.142 0.243 0.824 x8
Hg2 0.188 0.500 0.356 x4

---

Density functional theory data (PBE) for crystalline Ba2CoRh at its relaxed geometry.

a = 8.362 Å, b = 8.362 Å, c = 6.712 Å
α = 90.00°, β = 90.00°, γ = 90.00°
Space group I-42d (No. 122)
One atom of each set of equivalent atoms:
Ba1 0.231 0.750 0.125 x8
Co1 0.000 0.000 0.500 x4
Rh1 0.000 0.000 0.000 x4

---

Final energy, respectively: -32.1 -63.1 eV for the cell shown.
Energy relative to the elements, respectively: -1.11 2.53 eV/f.u..
Energy above the lowest structure with this stoichiometry, respectively: 0.034 0.653 eV/atom.